Record 1
Compound: TbCuS2
Source: Alexandria via LeMat-Bulk
Functional: PBE
Structure: relaxed

```
TbCuS2
1.0
3.370 -1.939 0.000
3.370 1.939 0.000
-2.070 0.000 6.731
Tb Cu S
1 1 2
direct
0.000 0.000 0.000 Tb
0.771 0.771 0.338 Cu
0.267 0.267 0.786 S
0.426 0.426 0.298 S
```

Properties
- VASP energy (Ry/atom) = -0.39850
- SG = Cm (8)

---

Record 2
Compound: TbCu2S2
Source: Alexandria via LeMat-Bulk
Functional: PBE
Structure: relaxed

```
TbCu2S2
1.0
4.179 -4.836 0.000
4.179 4.836 0.000
-4.171 0.000 4.279
Tb Cu S
2 4 4
direct
0.126 0.874 0.750 Tb
0.874 0.126 0.250 Tb
0.223 0.478 0.950 Cu
0.478 0.223 0.450 Cu
0.522 0.777 0.550 Cu
0.777 0.522 0.050 Cu
0.160 0.840 0.250 S
0.413 0.587 0.750 S
0.587 0.413 0.250 S
0.840 0.160 0.750 S
```

Properties
- VASP energy (Ry/atom) = -0.36289
- SG = C2/c (15)

---

Record 3
Compound: Tb3CuS6
Source: Alexandria via LeMat-Bulk
Functional: PBE
Structure: relaxed

```
Tb3CuS6
1.0
5.388 -6.324 0.000
5.388 6.324 0.000
0.000 0.000 6.629
Tb Cu S
6 2 12
direct
0.104 0.896 0.500 Tb
0.218 0.416 0.411 Tb
0.416 0.218 0.911 Tb
0.584 0.782 0.411 Tb
0.782 0.584 0.911 Tb
0.896 0.104 0.000 Tb
0.299 0.701 0.868 Cu
0.701 0.299 0.368 Cu
0.071 0.593 0.699 S
0.129 0.191 0.704 S
0.191 0.129 0.204 S
0.286 0.714 0.212 S
0.407 0.929 0.699 S
0.462 0.538 0.712 S
0.538 0.462 0.212 S
0.593 0.071 0.199 S
0.714 0.286 0.712 S
0.809 0.871 0.704 S
0.871 0.809 0.204 S
0.929 0.407 0.199 S
```

Properties
- VASP energy (Ry/atom) = -0.42295
- SG = Cmc2_1 (36)

---

Record 4
Compound: Tb7CuS5
Source: Alexandria via LeMat-Bulk
Functional: PBE
Structure: relaxed

```
Tb7CuS5
1.0
6.454 -1.948 0.000
6.454 1.948 0.000
-0.006 0.000 23.575
Tb Cu S
14 2 10
direct
0.036 0.036 0.250 Tb
0.137 0.137 0.537 Tb
0.137 0.137 0.963 Tb
0.312 0.312 0.177 Tb
0.312 0.312 0.323 Tb
0.412 0.412 0.608 Tb
0.412 0.412 0.892 Tb
0.588 0.588 0.108 Tb
0.588 0.588 0.392 Tb
0.688 0.688 0.677 Tb
0.688 0.688 0.823 Tb
0.863 0.863 0.037 Tb
0.863 0.863 0.463 Tb
0.964 0.964 0.750 Tb
0.299 0.299 0.750 Cu
0.701 0.701 0.250 Cu
0.049 0.049 0.642 S
0.049 0.049 0.858 S
0.225 0.225 0.071 S
0.225 0.225 0.429 S
0.500 0.500 0.000 S
0.500 0.500 0.500 S
0.775 0.775 0.571 S
0.775 0.775 0.929 S
0.951 0.951 0.142 S
0.951 0.951 0.358 S
```

Properties
- VASP energy (Ry/atom) = -0.43974
- SG = C2/m (12)

---

Record 5
Compound: Tb8CuTe4S3
Source: Alexandria via LeMat-Bulk
Functional: PBE
Structure: relaxed

```
Tb8CuTe4S3
1.0
4.115 2.376 7.011
-4.115 2.376 7.011
0.000 -4.752 7.011
Tb Cu Te S
8 1 4 3
direct
0.235 0.235 0.235 Tb
0.239 0.737 0.737 Tb
0.263 0.263 0.761 Tb
0.263 0.761 0.263 Tb
0.737 0.239 0.737 Tb
0.737 0.737 0.239 Tb
0.761 0.263 0.263 Tb
0.765 0.765 0.765 Tb
0.500 0.500 0.500 Cu
0.000 0.000 0.000 Te
0.000 0.500 0.500 Te
0.500 0.000 0.500 Te
0.500 0.500 0.000 Te
0.000 0.000 0.500 S
0.000 0.500 0.000 S
0.500 0.000 0.000 S
```

Properties
- VASP energy (Ry/atom) = -0.41020
- SG = R-3m (166)

---

Record 6
Compound: TbCuTeS
Source: Alexandria via LeMat-Bulk
Functional: PBE
Structure: relaxed

```
TbCuTeS
1.0
2.045 1.181 13.840
-2.045 1.181 13.840
0.000 -2.361 13.840
Tb Cu Te S
2 2 2 2
direct
0.078 0.078 0.078 Tb
0.922 0.922 0.922 Tb
0.312 0.312 0.312 Cu
0.688 0.688 0.688 Cu
0.212 0.212 0.212 Te
0.788 0.788 0.788 Te
0.370 0.370 0.370 S
0.630 0.630 0.630 S
```

Properties
- VASP energy (Ry/atom) = -0.36603
- SG = R-3m (166)

---

Record 7
Compound: TbTlCuS2
Source: Alexandria via LeMat-Bulk
Functional: PBE
Structure: relaxed

```
TbTlCuS2
1.0
6.296 0.000 0.000
0.000 5.750 0.000
-2.013 0.000 7.262
Tb Tl Cu S
2 2 2 4
direct
0.000 0.018 0.250 Tb
0.000 0.982 0.750 Tb
0.500 0.303 0.250 Tl
0.500 0.697 0.750 Tl
0.000 0.500 0.000 Cu
0.000 0.500 0.500 Cu
0.239 0.216 0.564 S
0.239 0.784 0.064 S
0.761 0.216 0.936 S
0.761 0.784 0.436 S
```

Properties
- VASP energy (Ry/atom) = -0.34490
- SG = P2/c (13)

---

Record 8
Compound: Tb3Tm3CuS8
Source: Alexandria via LeMat-Bulk
Functional: PBE
Structure: relaxed

```
Tb3Tm3CuS8
1.0
3.853 2.224 6.311
-3.853 2.224 6.311
0.000 -4.449 6.311
Tb Tm Cu S
3 3 1 8
direct
0.000 0.500 0.500 Tb
0.500 0.000 0.500 Tb
0.500 0.500 0.000 Tb
0.000 0.000 0.500 Tm
0.000 0.500 0.000 Tm
0.500 0.000 0.000 Tm
0.500 0.500 0.500 Cu
0.248 0.248 0.248 S
0.250 0.745 0.745 S
0.255 0.255 0.750 S
0.255 0.750 0.255 S
0.745 0.250 0.745 S
0.745 0.745 0.250 S
0.750 0.255 0.255 S
0.752 0.752 0.752 S
```

Properties
- VASP energy (Ry/atom) = -0.44928
- SG = R-3m (166)

---

Record 9
Compound: TbTm2CuS5
Source: Alexandria via LeMat-Bulk
Functional: PBE
Structure: relaxed

```
TbTm2CuS5
1.0
1.888 -8.611 0.000
1.888 8.611 0.000
0.000 0.000 11.171
Tb Tm Cu S
2 4 2 10
direct
0.195 0.805 0.500 Tb
0.805 0.195 0.000 Tb
0.099 0.901 0.173 Tm
0.114 0.886 0.796 Tm
0.886 0.114 0.296 Tm
0.901 0.099 0.673 Tm
0.439 0.561 0.945 Cu
0.561 0.439 0.445 Cu
0.043 0.957 0.555 S
0.296 0.704 0.176 S
0.325 0.675 0.827 S
0.358 0.642 0.493 S
0.497 0.503 0.269 S
0.503 0.497 0.769 S
0.642 0.358 0.993 S
0.675 0.325 0.327 S
0.704 0.296 0.676 S
0.957 0.043 0.055 S
```

Properties
- VASP energy (Ry/atom) = -0.43561
- SG = Cmc2_1 (36)

---

Record 10
Compound: Tb2UCuS6
Source: Alexandria via LeMat-Bulk
Functional: PBE
Structure: relaxed

```
Tb2UCuS6
1.0
6.486 0.000 0.000
0.000 6.486 0.000
0.000 0.000 5.872
Tb U Cu S
2 1 1 6
direct
0.000 0.500 0.000 Tb
0.500 0.000 0.000 Tb
0.000 0.000 0.629 U
0.500 0.500 0.556 Cu
0.000 0.000 0.169 S
0.264 0.264 0.739 S
0.264 0.736 0.739 S
0.500 0.500 0.182 S
0.736 0.264 0.739 S
0.736 0.736 0.739 S
```

Properties
- VASP energy (Ry/atom) = -0.44757
- SG = P4mm (99)

---

Record 11
Compound: Tb2YCuS5
Source: Alexandria via LeMat-Bulk
Functional: PBE
Structure: relaxed

```
Tb2YCuS5
1.0
1.919 -8.387 0.000
1.919 8.387 0.000
0.000 0.000 11.436
Tb Y Cu S
4 2 2 10
direct
0.106 0.894 0.500 Tb
0.120 0.880 0.124 Tb
0.880 0.120 0.624 Tb
0.894 0.106 0.000 Tb
0.195 0.805 0.826 Y
0.805 0.195 0.326 Y
0.442 0.558 0.271 Cu
0.558 0.442 0.771 Cu
0.042 0.958 0.879 S
0.290 0.710 0.494 S
0.318 0.682 0.159 S
0.358 0.642 0.817 S
0.498 0.502 0.594 S
0.502 0.498 0.094 S
0.642 0.358 0.317 S
0.682 0.318 0.659 S
0.710 0.290 0.994 S
0.958 0.042 0.379 S
```

Properties
- VASP energy (Ry/atom) = -0.45683
- SG = Cmc2_1 (36)

---

Record 12
Compound: TbYCu2S4
Source: Alexandria via LeMat-Bulk
Functional: PBE
Structure: relaxed

```
TbYCu2S4
1.0
-3.248 3.250 3.916
3.248 -3.250 3.916
3.248 3.250 -3.916
Tb Y Cu S
1 1 2 4
direct
0.000 0.000 0.000 Tb
0.500 0.500 0.000 Y
0.337 0.837 0.500 Cu
0.663 0.163 0.500 Cu
0.077 0.575 0.012 S
0.437 0.425 0.502 S
0.563 0.065 0.988 S
0.923 0.935 0.498 S
```

Properties
- VASP energy (Ry/atom) = -0.41612
- SG = I222 (23)

---

Record 13
Compound: Cu2TcS4
Source: Alexandria via LeMat-Bulk
Functional: PBE
Structure: relaxed

```
Cu2TcS4
1.0
-2.386 2.386 5.612
2.386 -2.386 5.612
2.386 2.386 -5.612
Cu Tc S
2 1 4
direct
0.106 0.106 0.000 Cu
0.894 0.894 0.000 Cu
0.500 0.500 0.000 Tc
0.000 0.500 0.500 S
0.296 0.296 0.000 S
0.500 0.000 0.500 S
0.704 0.704 0.000 S
```

Properties
- VASP energy (Ry/atom) = -0.34972
- SG = I4/mmm (139)

---

Record 14
Compound: CuTcS
Source: Alexandria via LeMat-Bulk
Functional: PBE
Structure: relaxed

```
CuTcS
1.0
5.363 0.000 0.000
0.000 3.021 0.000
-2.434 0.000 5.345
Cu Tc S
2 2 2
direct
0.000 0.000 0.000 Cu
0.160 0.500 0.756 Cu
0.619 0.500 0.639 Tc
0.819 0.000 0.369 Tc
0.275 0.000 0.418 S
0.595 0.500 0.044 S
```

Properties
- VASP energy (Ry/atom) = -0.45982
- SG = Pm (6)
- ΔE to the lowest computed polymorph (meV/atom) = 28

---

Record 15
Compound: CuTcS3
Source: Alexandria via LeMat-Bulk
Functional: PBE
Structure: relaxed

```
CuTcS3
1.0
4.492 0.000 0.000
0.000 4.492 0.000
0.000 0.000 4.492
Cu Tc S
1 1 3
direct
0.000 0.000 0.000 Cu
0.500 0.500 0.500 Tc
0.000 0.000 0.500 S
0.000 0.500 0.000 S
0.500 0.000 0.000 S
```

Properties
- VASP energy (Ry/atom) = -0.32542
- SG = Pm-3m (221)
- ΔE to the lowest computed polymorph (meV/atom) = 390

---

Record 16
Compound: Cu2TcS
Source: Alexandria via LeMat-Bulk
Functional: PBE
Structure: relaxed

```
Cu2TcS
1.0
-3.486 3.486 2.312
3.486 -3.486 2.312
3.486 3.486 -2.312
Cu Tc S
4 2 2
direct
0.084 0.625 0.959 Cu
0.375 0.334 0.459 Cu
0.666 0.125 0.041 Cu
0.875 0.916 0.541 Cu
0.250 0.750 0.500 Tc
0.500 0.500 0.000 Tc
0.000 0.000 0.000 S
0.750 0.250 0.500 S
```

Properties
- VASP energy (Ry/atom) = -0.39099
- SG = I-42d (122)

---

Record 17
Compound: Cu3TcS4
Source: Alexandria via LeMat-Bulk
Functional: PBE
Structure: relaxed

```
Cu3TcS4
1.0
7.405 0.000 0.000
0.000 6.440 0.000
0.000 0.000 6.142
Cu Tc S
6 2 8
direct
0.000 0.152 0.000 Cu
0.250 0.335 0.499 Cu
0.250 0.665 0.999 Cu
0.500 0.848 0.500 Cu
0.750 0.335 0.499 Cu
0.750 0.665 0.999 Cu
0.000 0.832 0.514 Tc
0.500 0.168 0.014 Tc
0.000 0.163 0.626 S
0.000 0.822 0.147 S
0.248 0.331 0.126 S
0.252 0.669 0.626 S
0.500 0.178 0.647 S
0.500 0.837 0.126 S
0.748 0.669 0.626 S
0.752 0.331 0.126 S
```

Properties
- VASP energy (Ry/atom) = -0.37885
- SG = Pmn2_1 (31)

---

Record 18
Compound: CuTcS
Source: Alexandria via LeMat-Bulk
Functional: PBE
Structure: relaxed

```
CuTcS
1.0
2.969 0.000 0.000
-1.485 2.572 0.000
0.000 0.000 5.912
Cu Tc S
1 1 1
direct
0.000 0.000 0.000 Cu
0.667 0.333 0.355 Tc
0.000 0.000 0.614 S
```

Properties
- VASP energy (Ry/atom) = -0.46187
- SG = P3m1 (156)
- ΔE to the lowest computed polymorph (meV/atom) = 0

---

Record 19
Compound: Cu3TcS
Source: Alexandria via LeMat-Bulk
Functional: PBE
Structure: relaxed

```
Cu3TcS
1.0
4.634 0.000 0.000
0.000 4.634 0.000
0.000 0.000 4.634
Cu Tc S
3 1 1
direct
0.000 0.000 0.500 Cu
0.000 0.500 0.000 Cu
0.500 0.000 0.000 Cu
0.000 0.000 0.000 Tc
0.500 0.500 0.500 S
```

Properties
- VASP energy (Ry/atom) = -0.27458
- SG = Pm-3m (221)
- ΔE to the lowest computed polymorph (meV/atom) = 791

---

Record 20
Compound: CuTc3S
Source: Alexandria via LeMat-Bulk
Functional: PBE
Structure: relaxed

```
CuTc3S
1.0
4.497 0.000 0.000
0.000 4.497 0.000
0.000 0.000 4.497
Cu Tc S
1 3 1
direct
0.000 0.000 0.000 Cu
0.000 0.000 0.500 Tc
0.000 0.500 0.000 Tc
0.500 0.000 0.000 Tc
0.500 0.500 0.500 S
```

Properties
- VASP energy (Ry/atom) = -0.43414
- SG = Pm-3m (221)
- ΔE to the lowest computed polymorph (meV/atom) = 1315

---

Number 1: formation energy from raw total energies -1.1766 eV/atom. Number 2: formation energy from raw total energies -0.7219 eV/atom. Number 3: formation energy from raw total energies -1.4793 eV/atom. Number 4: formation energy from raw total energies -1.5871 eV/atom. Number 5: formation energy from raw total energies -1.4506 eV/atom. Number 6: formation energy from raw total energies -0.9811 eV/atom. Number 7: formation energy from raw total energies -0.8231 eV/atom. Number 8: formation energy from raw total energies -1.8180 eV/atom. Number 9: formation energy from raw total energies -1.6705 eV/atom. Number 10: formation energy from raw total energies -1.1485 eV/atom. Number 11: formation energy from raw total energies -1.7201 eV/atom. Number 12: formation energy from raw total energies -1.1870 eV/atom. Number 13: formation energy from raw total energies 0.2516 eV/atom. Number 14: formation energy from raw total energies -0.0597 eV/atom. Number 15: formation energy from raw total energies 0.9413 eV/atom. Number 16: formation energy from raw total energies 0.3517 eV/atom. Number 17: formation energy from raw total energies -0.2590 eV/atom. Number 18: formation energy from raw total energies -0.0875 eV/atom. Number 19: formation energy from raw total energies 1.6206 eV/atom. Number 20: formation energy from raw total energies 1.9576 eV/atom.